Entry 1:
DFT (PBE-GGA) results for a relaxed structure of FeNi2Te.

Symmetry = P4mm, No. 99
ΔE_f (raw) = 5.4 kcal/mol of atoms

a = 3.265 Å, b = 3.268 Å, c = 5.390 Å
α = 90.00°, β = 90.00°, γ = 90.00°
Last column: magnetic moment on the atom in μB.
Atoms (fractional coordinates):
Ni1 0.500 0.500 0.237  0.09
Fe1 0.500 0.500 0.788  2.78
Te1 0.000 0.000 0.483  -0.03
Ni2 0.000 0.000 0.992  0.60

Entry 2:
DFT (PBE-GGA) results for a relaxed structure of Fe2NiTe.

Symmetry = C2/m, No. 12
ΔE_f (raw) = 4.2 kcal/mol of atoms

a = 6.673 Å, b = 3.707 Å, c = 4.112 Å
α = 90.13°, β = 51.78°, γ = 123.83°
Last column: magnetic moment on the atom in μB.
Atoms (fractional coordinates):
Te1 0.500 0.500 0.000  0.05
Fe1 0.000 0.000 0.000  2.69
Fe2 0.500 0.000 0.500  2.69
Ni1 0.000 0.500 0.500  0.35

Entry 3:
DFT (PBE-GGA) results for a relaxed structure of Fe2NiTe.

Symmetry = Pmmm, No. 47
ΔE_f (raw) = 7.4 kcal/mol of atoms

a = 3.367 Å, b = 3.383 Å, c = 6.190 Å
α = 56.85°, β = 90.00°, γ = 90.00°
Last column: magnetic moment on the atom in μB.
Atoms (fractional coordinates):
Te1 0.500 0.750 0.750  -0.04
Fe1 0.000 0.973 0.027  2.63
Ni1 0.500 0.250 0.250  0.48
Fe2 0.000 0.527 0.473  2.63